(1)
The following is a DFT calculation (PBE-GGA) of Y7Ho3Tm2 after structural relaxation.

a b c (Å): 5.778 3.564 18.604
angles (deg): 90.00 93.60 90.00
Positions (direct):
Y 0.000 0.000 0.000
Y 0.186 0.500 0.182
Y 0.258 0.500 0.536
Y 0.318 0.000 0.856
Y 0.682 0.000 0.144
Y 0.742 0.500 0.464
Y 0.814 0.500 0.818
Ho 0.220 0.000 0.367
Ho 0.500 0.500 0.000
Ho 0.780 0.000 0.633
Tm 0.293 0.500 0.705
Tm 0.707 0.500 0.295

Values from the calculation:
As for the space group: P2/m, No. 10. For the uncorrected energy, the calculation gives -66.79 eV for the cell shown. The formation energy comes out at 0.094 eV/atom.

***

(2)
The following is a DFT calculation (PBE-GGA) of Y7HoTm2 after structural relaxation.

a b c (Å): 9.081 9.081 5.615
angles (deg): 90.00 90.00 122.01
Positions (direct):
Y 0.000 0.000 0.000
Y 0.207 0.438 0.000
Y 0.279 0.721 0.500
Y 0.438 0.207 0.000
Y 0.562 0.793 0.000
Y 0.721 0.279 0.500
Y 0.793 0.562 0.000
Ho 0.500 0.500 0.500
Tm 0.204 0.796 0.000
Tm 0.796 0.204 0.000

Values from the calculation:
As for the space group: Cmmm, No. 65. For the uncorrected energy, the calculation gives -51.78 eV for the cell shown. The formation energy comes out at 0.699 eV/atom.

***

(3)
The following is a DFT calculation (PBE-GGA) of Y4Ho8Tm after structural relaxation.

a b c (Å): 9.983 9.983 9.983
angles (deg): 42.73 42.73 42.73
Positions (direct):
Y 0.000 0.000 0.000
Y 0.000 0.500 0.500
Y 0.500 0.000 0.500
Y 0.500 0.500 0.000
Ho 0.196 0.750 0.750
Ho 0.215 0.215 0.215
Ho 0.250 0.250 0.804
Ho 0.250 0.804 0.250
Ho 0.750 0.196 0.750
Ho 0.750 0.750 0.196
Ho 0.785 0.785 0.785
Ho 0.804 0.250 0.250
Tm 0.500 0.500 0.500

Values from the calculation:
As for the space group: R-3m, No. 166. For the uncorrected energy, the calculation gives -64.04 eV for the cell shown. The formation energy comes out at 0.224 eV/atom.

***

(4)
The following is a DFT calculation (PBE-GGA) of Y6HoTm12 after structural relaxation.

a b c (Å): 8.470 8.470 8.470
angles (deg): 92.51 92.51 92.51
Positions (direct):
Y 0.224 0.758 0.374
Y 0.242 0.626 0.776
Y 0.374 0.224 0.758
Y 0.626 0.776 0.242
Y 0.758 0.374 0.224
Y 0.776 0.242 0.626
Ho 0.500 0.500 0.500
Tm 0.028 0.289 0.969
Tm 0.031 0.972 0.711
Tm 0.123 0.360 0.433
Tm 0.289 0.969 0.028
Tm 0.360 0.433 0.123
Tm 0.433 0.123 0.360
Tm 0.567 0.877 0.640
Tm 0.640 0.567 0.877
Tm 0.711 0.031 0.972
Tm 0.877 0.640 0.567
Tm 0.969 0.028 0.289
Tm 0.972 0.711 0.031

Values from the calculation:
As for the space group: R-3, No. 148. For the uncorrected energy, the calculation gives -93.44 eV for the cell shown. The formation energy comes out at 0.188 eV/atom.